VASP calculation (PBE) on a geometry-optimized LiDyTeS structure.

a b c (Å): 4.2343 4.2343 13.8204
angles (deg): 90.00 90.00 120.00
With the nearest neighbours (Å) after each atom.
Atoms (fractional coordinates):
Li (0.0000, 0.0000, 0.4930)  1 S 2.41
Li (0.0000, 0.0000, 0.9930)  1 S 2.41
Dy (0.6667, 0.3333, 0.7546)  3 S 2.72
Dy (0.3333, 0.6667, 0.2546)  3 S 2.72
Te (0.3333, 0.6667, 0.8971)  3 Li 2.78
Te (0.6667, 0.3333, 0.3971)  3 Li 2.78
S (0.0000, 0.0000, 0.1675)  1 Li 2.41
S (0.0000, 0.0000, 0.6675)  1 Li 2.41

Output
magnetization = 0.00 μB/f.u.
crystal system = hexagonal
DOS(E_F) = 0.0 states/eV/f.u.
VASP energy = -5.00 eV/atom
calculated density = 5.1 g/cm³
formation energy from raw total energies = -1.558 eV/atom
symmetry = P6_3mc, No. 186

=====

VASP calculation (PBE) on a geometry-optimized LaY7Cd4 structure.

a b c (Å): 5.7413 9.0665 7.9347
angles (deg): 70.41 68.79 71.54
With the nearest neighbours (Å) after each atom.
Atoms (fractional coordinates):
La (0.0000, 0.0000, 0.0000)  2 Y 2.87
Y (0.7923, 0.8808, 0.5347)  4 Cd 3.34-3.70, 5 Y 3.49-3.58
Y (0.2077, 0.1192, 0.4653)  4 Cd 3.34-3.70, 5 Y 3.49-3.58
Y (0.0711, 0.5865, 0.2713)  3 Cd 3.13-3.23, 1 Y 3.34
Y (0.9289, 0.4135, 0.7287)  3 Cd 3.13-3.23, 1 Y 3.34
Y (0.2661, 0.6878, 0.7800)  4 Cd 3.00-3.20
Y (0.5000, 0.0000, 0.0000)  2 La 2.87, 4 Cd 2.97-3.16
Y (0.7339, 0.3122, 0.2200)  4 Cd 3.00-3.20
Cd (0.5425, 0.2828, 0.6322)  4 Y 3.00-3.23, 1 Cd 3.06
Cd (0.4575, 0.7172, 0.3678)  4 Y 3.00-3.23, 1 Cd 3.06
Cd (0.6820, 0.6604, 0.9756)  5 Y 2.97-3.20, 1 Cd 3.06
Cd (0.3180, 0.3396, 0.0244)  5 Y 2.97-3.20, 1 Cd 3.06

Output
magnetization = 0.00 μB/f.u.
crystal system = monoclinic
DOS(E_F) = 16.1 states/eV/f.u.
VASP energy = -4.50 eV/atom
E_form = -17 meV/atom
calculated density = 5.7 g/cm³
symmetry = C2/m, No. 12

=====

VASP calculation (PBE) on a geometry-optimized LaPaAu structure.

a b c (Å): 3.6409 4.9675 4.9675
angles (deg): 120.00 90.00 90.00
With the nearest neighbours (Å) after each atom.
Atoms (fractional coordinates):
Pa (0.2833, 0.3333, 0.6667)  3 Au 2.97, 3 La 3.15
Au (0.0751, 0.0000, 0.0000)  3 Pa 2.97, 3 La 3.27
La (0.6416, 0.6667, 0.3333)  3 Pa 3.15, 3 Au 3.27

Output
magnetization = 0.00 μB/f.u.
crystal system = trigonal
DOS(E_F) = 4.2 states/eV/f.u.
VASP energy = -5.96 eV/atom
offset from the most stable computed form = 228 meV/atom
E_form = -58 meV/atom
calculated density = 12.1 g/cm³
symmetry = P3m1, No. 156

=====

VASP calculation (PBE) on a geometry-optimized NaTmTl2Br6 structure.

a b c (Å): 7.6521 8.0930 11.0320
angles (deg): 90.00 89.31 90.00
With the nearest neighbours (Å) after each atom.
Atoms (fractional coordinates):
Na (0.5000, 0.0000, 0.0000)  6 Br 2.97-3.02
Na (0.0000, 0.5000, 0.5000)  6 Br 2.97-3.02
Tm (0.5000, 0.0000, 0.5000)  6 Br 2.77-2.78
Tm (0.0000, 0.5000, 0.0000)  6 Br 2.77-2.78
Tl (0.0259, 0.9228, 0.2531)  6 Br 3.35-3.59
Tl (0.5259, 0.5772, 0.7531)  6 Br 3.35-3.59
Tl (0.9741, 0.0772, 0.7469)  6 Br 3.35-3.59
Tl (0.4741, 0.4228, 0.2469)  6 Br 3.35-3.59
Br (0.2952, 0.6875, 0.0473)  1 Tm 2.78, 1 Na 3.02
Br (0.7952, 0.8125, 0.5473)  1 Tm 2.78, 1 Na 3.02
Br (0.7048, 0.3125, 0.9527)  1 Tm 2.78, 1 Na 3.02
Br (0.2048, 0.1875, 0.4527)  1 Tm 2.78, 1 Na 3.02
Br (0.3167, 0.7124, 0.4490)  1 Tm 2.78, 1 Na 3.02
Br (0.8167, 0.7876, 0.9490)  1 Tm 2.78, 1 Na 3.02
Br (0.6833, 0.2876, 0.5510)  1 Tm 2.78, 1 Na 3.02
Br (0.1833, 0.2124, 0.0510)  1 Tm 2.78, 1 Na 3.02
Br (0.8983, 0.5240, 0.2414)  1 Tm 2.77, 1 Na 2.97
Br (0.3983, 0.9760, 0.7414)  1 Tm 2.77, 1 Na 2.97
Br (0.1017, 0.4760, 0.7586)  1 Tm 2.77, 1 Na 2.97
Br (0.6017, 0.0240, 0.2586)  1 Tm 2.77, 1 Na 2.97

Output
magnetization = 0.00 μB/f.u.
crystal system = monoclinic
DOS(E_F) = 0.0 states/eV/f.u.
VASP energy = -3.48 eV/atom
calculated density = 5.3 g/cm³
formation energy from raw total energies = -1.420 eV/atom
symmetry = P2_1/c, No. 14

=====

VASP calculation (PBE) on a geometry-optimized Tm4PuPd5 structure.

a b c (Å): 3.4295 3.4295 17.8168
angles (deg): 90.00 90.00 90.00
With the nearest neighbours (Å) after each atom.
Atoms (fractional coordinates):
Tm (0.0000, 0.0000, 0.2032)  8 Pd 2.91-3.01
Tm (0.0000, 0.0000, 0.4014)  8 Pd 2.99
Tm (0.0000, 0.0000, 0.5986)  8 Pd 2.99
Tm (0.0000, 0.0000, 0.7968)  8 Pd 2.91-3.01
Pu (0.0000, 0.0000, 0.0000)  8 Pd 3.15, 4 Pu 3.43
Pd (0.5000, 0.5000, 0.1125)  4 Tm 2.91, 4 Pu 3.15
Pd (0.5000, 0.5000, 0.3037)  8 Tm 2.99-3.01
Pd (0.5000, 0.5000, 0.5000)  8 Tm 2.99
Pd (0.5000, 0.5000, 0.6963)  8 Tm 2.99-3.01
Pd (0.5000, 0.5000, 0.8875)  4 Tm 2.91, 4 Pu 3.15

Output
magnetization = 5.86 μB/f.u.
crystal system = tetragonal
DOS(E_F) = 14.7 states/eV/f.u.
VASP energy = -6.65 eV/atom
E_form = -833 meV/atom
calculated density = 11.5 g/cm³
symmetry = P4/mmm, No. 123

=====

VASP calculation (PBE) on a geometry-optimized SrTiB2 structure.

a b c (Å): 4.7276 4.7276 7.9591
angles (deg): 72.72 72.72 90.00
With the nearest neighbours (Å) after each atom.
Atoms (fractional coordinates):
Sr (0.0000, 0.0000, 0.0000)  4 B 2.96
Sr (0.7500, 0.2500, 0.5000)  4 B 2.96
B (0.4466, 0.1250, 0.2500)  2 Ti 2.18
B (0.3034, 0.6250, 0.2500)  2 Ti 2.18
B (0.3750, 0.5534, 0.7500)  2 Ti 2.18
B (0.8750, 0.6966, 0.7500)  2 Ti 2.18
Ti (0.5000, 0.5000, 0.0000)  4 B 2.18
Ti (0.2500, 0.7500, 0.5000)  4 B 2.18

Output
magnetization = 0.00 μB/f.u.
crystal system = tetragonal
DOS(E_F) = 2.2 states/eV/f.u.
VASP energy = -4.98 eV/atom
offset from the most stable computed form = 0 meV/atom
E_form = 756 meV/atom
calculated density = 3.2 g/cm³
symmetry = I-42d, No. 122

=====

VASP calculation (PBE) on a geometry-optimized Tm2UPaAs4 structure.

a b c (Å): 4.0672 7.0363 7.1070
angles (deg): 109.33 90.00 90.00
With the nearest neighbours (Å) after each atom.
Atoms (fractional coordinates):
Tm (0.5000, 0.0000, 0.5000)  6 As 2.87
Tm (0.0000, 0.5000, 0.5000)  6 As 2.87
U (0.0000, 0.0000, 0.0000)  6 As 2.90
Pa (0.5000, 0.5000, 0.0000)  6 As 2.90
As (0.5000, 0.2511, 0.2531)  3 Tm 2.87, 1 Pa 2.90, 2 U 2.90
As (0.5000, 0.7489, 0.7469)  3 Tm 2.87, 1 Pa 2.90, 2 U 2.90
As (0.0000, 0.2489, 0.7466)  3 Tm 2.87, 2 Pa 2.90, 1 U 2.90
As (0.0000, 0.7511, 0.2534)  3 Tm 2.87, 2 Pa 2.90, 1 U 2.90

Output
magnetization = 3.36 μB/f.u.
crystal system = monoclinic
DOS(E_F) = 9.9 states/eV/f.u.
VASP energy = -7.23 eV/atom
E_form = -1186 meV/atom
calculated density = 9.6 g/cm³
symmetry = P2/m, No. 10

=====

VASP calculation (PBE) on a geometry-optimized Na2Tl3Cd3 structure.

a b c (Å): 6.0216 6.0216 6.0216
angles (deg): 90.01 90.01 89.99
With the nearest neighbours (Å) after each atom.
Atoms (fractional coordinates):
Na (0.2524, 0.2524, 0.7476)  6 Cd 3.34-3.38, 6 Tl 3.35-3.40
Na (0.7476, 0.7476, 0.2524)  6 Cd 3.34-3.38, 6 Tl 3.35-3.40
Tl (0.2524, 0.7476, 0.0000)  2 Cd 3.01, 2 Na 3.35
Tl (0.0000, 0.2524, 0.2524)  2 Cd 3.01, 2 Na 3.35
Tl (0.7476, 0.0000, 0.7476)  2 Cd 3.01, 2 Na 3.35
Cd (0.2511, 0.7489, 0.5000)  2 Tl 3.01, 2 Na 3.34
Cd (0.5000, 0.2511, 0.2511)  2 Tl 3.01, 2 Na 3.34
Cd (0.7489, 0.5000, 0.7489)  2 Tl 3.01, 2 Na 3.34

Output
magnetization = 0.00 μB/f.u.
crystal system = trigonal
DOS(E_F) = 4.6 states/eV/f.u.
VASP energy = -1.58 eV/atom
E_form = -18 meV/atom
calculated density = 7.6 g/cm³
symmetry = R32, No. 155

=====

VASP calculation (PBE) on a geometry-optimized Cd3PCl3 structure.

a b c (Å): 6.2715 8.9986 8.9986
angles (deg): 120.00 90.00 90.00
With the nearest neighbours (Å) after each atom.
Atoms (fractional coordinates):
Cd (0.7500, 0.6419, 0.8207)  1 P 2.41, 2 Cl 2.59
Cd (0.7500, 0.1787, 0.3581)  1 P 2.41, 2 Cl 2.59
Cd (0.7500, 0.1792, 0.8214)  1 P 2.41, 2 Cl 2.59
Cd (0.2500, 0.3581, 0.1793)  1 P 2.41, 2 Cl 2.59
Cd (0.2500, 0.8213, 0.6419)  1 P 2.41, 2 Cl 2.59
Cd (0.2500, 0.8208, 0.1786)  1 P 2.41, 2 Cl 2.59
P (0.7500, 0.3333, 0.6667)  3 Cd 2.41
P (0.2500, 0.6667, 0.3333)  3 Cd 2.41
Cl (0.2500, 0.7025, 0.8510)  2 Cd 2.59
Cl (0.2500, 0.1486, 0.2975)  2 Cd 2.59
Cl (0.2500, 0.1489, 0.8515)  2 Cd 2.59
Cl (0.7500, 0.2975, 0.1490)  2 Cd 2.59
Cl (0.7500, 0.8514, 0.7025)  2 Cd 2.59
Cl (0.7500, 0.8511, 0.1485)  2 Cd 2.59

Output
magnetization = 0.00 μB/f.u.
crystal system = hexagonal
DOS(E_F) = 2.7 states/eV/f.u.
VASP energy = -2.49 eV/atom
calculated density = 3.6 g/cm³
formation energy from raw total energies = -0.535 eV/atom
symmetry = P6_3/mmc, No. 194

=====

VASP calculation (PBE) on a geometry-optimized MnZn5I12 structure.

a b c (Å): 10.8869 4.0967 19.4502
angles (deg): 89.83 127.71 79.14
With the nearest neighbours (Å) after each atom.
Atoms (fractional coordinates):
Mn (0.0000, 0.0000, 0.0000)  6 I 2.89-2.91
Zn (0.5000, 0.0000, 0.5000)  6 I 2.87-2.89
Zn (0.1667, 0.6667, 0.5000)  6 I 2.87-2.89
Zn (0.8333, 0.3334, 0.5000)  6 I 2.87-2.89
Zn (0.6645, 0.6663, 0.9994)  6 I 2.86-2.90
Zn (0.3355, 0.3337, 0.0006)  6 I 2.86-2.90
I (0.8224, 0.8397, 0.3931)  3 Zn 2.87-2.89
I (0.1776, 0.1603, 0.6069)  3 Zn 2.87-2.89
I (0.6530, 0.1740, 0.8923)  2 Zn 2.87, 1 Mn 2.91
I (0.3470, 0.8260, 0.1077)  2 Zn 2.87, 1 Mn 2.91
I (0.3225, 0.8404, 0.8931)  3 Zn 2.86-2.87
I (0.0105, 0.4931, 0.1086)  2 Mn 2.89, 1 Zn 2.90
I (0.9896, 0.5069, 0.8914)  2 Mn 2.89, 1 Zn 2.90
I (0.6775, 0.1596, 0.1069)  3 Zn 2.86-2.87
I (0.5110, 0.4937, 0.6069)  3 Zn 2.87-2.89
I (0.8443, 0.8271, 0.6069)  3 Zn 2.87-2.89
I (0.1557, 0.1729, 0.3931)  3 Zn 2.87-2.89
I (0.4890, 0.5063, 0.3931)  3 Zn 2.87-2.89

Output
magnetization = 5.00 μB/f.u.
crystal system = triclinic
VASP energy = -2.35 eV/atom
calculated density = 4.7 g/cm³
formation energy from raw total energies = -0.455 eV/atom
symmetry = P-1, No. 2